Density functional theory data (PBE) for an optimized crystal structure of Rb2NaI6O.

```
10
Lattice="7.7695 0.0000 0.0000 0.0000 7.7695 0.0000 3.8848 3.8848 7.0707" Properties=species:S:1:pos:R:3 pbc="T T T"
I 3.8848 3.8848 4.0178
I 7.7695 7.7695 3.0528
I 2.2168 2.2168 0.0000
I 5.5528 5.5528 0.0000
I 5.5528 2.2168 0.0000
I 2.2168 5.5528 0.0000
Na 0.0000 0.0000 0.0000
O 3.8848 3.8848 0.0000
Rb 7.7695 3.8848 3.5353
Rb 3.8848 7.7695 3.5353
```

Calculated values
Density of states at the Fermi level (states/eV per cell): 7.876
Total magnetic moment (μB/f.u.): 0.0
Final energy (eV per atom): -2.3337
Raw formation energy (eV/atom): -0.58